P) The following is a DFT calculation (PBE) of a relaxed LuBeAlCo crystal.

Structure (extended XYZ):
```
4
Lattice="0.000 3.071 3.071 3.071 0.000 3.071 3.071 3.071 0.000" Properties=species:S:1:pos:R:3 pbc="T T T"
Lu 0.000 0.000 0.000
Be 4.607 4.607 4.607
Al 1.536 1.536 1.536
Co 3.071 3.071 3.071
```

Volume, A^3/atom: 14.48



Q) The following is a DFT calculation (PBE) of a relaxed LuBeAlCo crystal.

Structure (extended XYZ):
```
4
Lattice="0.000 3.067 3.067 3.067 0.000 3.067 3.067 3.067 0.000" Properties=species:S:1:pos:R:3 pbc="T T T"
Lu 0.000 0.000 0.000
Be 1.534 1.534 1.534
Al 3.067 3.067 3.067
Co 4.601 4.601 4.601
```

Volume, A^3/atom: 14.43



Least stable structure among those shown: P).